# 1
5
Lattice="4.5885 0.0000 0.0000 0.0000 4.5885 0.0000 0.0000 0.0000 4.7288" Properties=species:S:1:pos:R:3 comment="AgIrRhW2 | Alexandria | meta-GGA SCAN | single point on PBEsol structure" sg=P4/mmm e_form_kcal_per_mol_atoms=49.0 crystal_system=tetragonal energy_ha_per_atom=-1.9476 m_tot_mub_per_cell=1.31 pbc="T T T"
Ag 0.0000 0.0000 0.0000
Ir 2.2942 2.2942 0.0000
Rh 2.2942 2.2942 2.3644
W 0.0000 2.2942 2.3644
W 2.2942 0.0000 2.3644

# 2
15
Lattice="2.7869 1.6090 5.3355 -2.7869 1.6090 5.3355 0.0000 -3.2180 5.3355" Properties=species:S:1:pos:R:3 comment="Li8CeO6 | Alexandria | meta-GGA SCAN | single point on PBEsol structure" sg=R-3 crystal_system=trigonal energy_ha_per_atom=-0.3343 m_tot_mub_per_cell=0.00 formation_energy_uncorrected_ev_per_atom=-2.3574 pbc="T T T"
Li -2.0251 -0.1027 6.0247
Li 0.0000 0.0000 2.3435
Li -0.9236 -1.8051 9.9819
Li 1.1015 -1.7024 6.0247
Li -1.1015 1.7024 9.9819
Li 0.9236 1.8051 6.0247
Li 0.0000 0.0000 13.6631
Li 2.0251 0.1027 9.9819
Ce 0.0000 0.0000 8.0033
O -0.8259 -1.5769 6.6386
O -1.7785 -0.0732 9.3680
O -0.9527 1.5036 6.6386
O 0.9527 -1.5036 9.3680
O 1.7785 0.0732 6.6386
O 0.8259 1.5769 9.3680

# 3
5
Lattice="5.8249 0.0000 0.0000 0.0000 5.8249 0.0000 0.0000 0.0000 5.8249" Properties=species:S:1:pos:R:3 comment="Cs3GeH | Alexandria | meta-GGA SCAN | single point on PBEsol structure" sg=Pm-3m crystal_system=cubic energy_ha_per_atom=-0.9995 m_tot_mub_per_cell=2.00 pbc="T T T"
Cs 0.0000 0.0000 2.9125
Cs 0.0000 2.9125 0.0000
Cs 2.9125 0.0000 0.0000
Ge 2.9125 2.9125 2.9125
H 0.0000 0.0000 0.0000